# 1
# CsTlPS4

An optimized crystal structure of CsTlPS4 (PBE, Alexandria).

V   29.91 A^3/atom
Space-group type   P2_1/m, No. 11
Formation energy without anion corrections   -0.533 eV/atom
Spin magnetization   0.00 Bohr magnetons per cell

a b c (Å): 6.5176 7.1183 9.6327
angles (deg): 90.00 110.46 90.00
Last column: nearest neighbours and their distance in Å.
Sites, in units of the cell vectors:
P: 0.2065 0.7500 0.3271  4 S 2.03-2.07
P: 0.7935 0.2500 0.6729  4 S 2.03-2.07
S: 0.9998 0.9808 0.2783  1 P 2.07
S: 0.0002 0.4808 0.7217  1 P 2.07
S: 0.6075 0.2500 0.8057  1 P 2.05
S: 0.6076 0.2500 0.4541  1 P 2.03
S: 0.3925 0.7500 0.1943  1 P 2.05
S: 0.3924 0.7500 0.5459  1 P 2.03
S: 0.9998 0.5192 0.2783  1 P 2.07
S: 0.0002 0.0192 0.7217  1 P 2.07
Cs: 0.7039 0.7500 0.9184  7 S 3.45-3.71
Cs: 0.2961 0.2500 0.0816  7 S 3.45-3.71
Tl: 0.2110 0.2500 0.5283  6 S 2.91-3.14
Tl: 0.7890 0.7500 0.4717  6 S 2.91-3.14


# 2
# Nd3B2Pt9

An optimized crystal structure of Nd3B2Pt9 (PBE, Alexandria).

V   17.45 A^3/atom
Space-group type   P6_3/mmc, No. 194
Spin magnetization   0.00 Bohr magnetons per cell
Energy of formation from the pure elements   -0.8109 eV per atom

a b c (Å): 6.2783 6.2783 14.3172
angles (deg): 90.00 90.00 120.00
Last column: nearest neighbours and their distance in Å.
Sites, in units of the cell vectors:
Pt: 0.8444 0.1556 0.4190  1 B 2.12
Pt: 0.8444 0.1556 0.0810  1 B 2.12
Pt: 0.3113 0.1556 0.0810  1 B 2.12
Pt: 0.3113 0.1556 0.4190  1 B 2.12
Pt: 0.1556 0.8444 0.5810  1 B 2.12
Pt: 0.1556 0.3113 0.9190  1 B 2.12
Pt: 0.8444 0.6887 0.4190  1 B 2.12
Pt: 0.6887 0.8444 0.5810  1 B 2.12
Pt: 0.1556 0.3113 0.5810  1 B 2.12
Pt: 0.9806 0.4903 0.2500  2 B 2.30
Pt: 0.5097 0.0194 0.2500  2 B 2.30
Pt: 0.5097 0.4903 0.2500  2 B 2.30
Pt: 0.0194 0.5097 0.7500  2 B 2.30
Pt: 0.4903 0.5097 0.7500  2 B 2.30
Pt: 0.4903 0.9806 0.7500  2 B 2.30
Pt: 0.6887 0.8444 0.9190  1 B 2.12
Pt: 0.1556 0.8444 0.9190  1 B 2.12
Pt: 0.8444 0.6887 0.0810  1 B 2.12
B: 0.3333 0.6667 0.6419  6 Pt 2.12-2.30
B: 0.3333 0.6667 0.8581  6 Pt 2.12-2.30
B: 0.6667 0.3333 0.3581  6 Pt 2.12-2.30
B: 0.6667 0.3333 0.1419  6 Pt 2.12-2.30
Nd: 0.0000 0.0000 0.2500  12 Pt 2.95-3.14
Nd: 0.0000 0.0000 0.7500  12 Pt 2.95-3.14
Nd: 0.6667 0.3333 0.9183  12 Pt 3.03-3.14, 1 B 3.20
Nd: 0.3333 0.6667 0.4183  12 Pt 3.03-3.14, 1 B 3.20
Nd: 0.3333 0.6667 0.0817  12 Pt 3.03-3.14, 1 B 3.20
Nd: 0.6667 0.3333 0.5817  12 Pt 3.03-3.14, 1 B 3.20


# 3
# LiHgP3

An optimized crystal structure of LiHgP3 (PBE, Alexandria).

V   18.04 A^3/atom
Space-group type   Pm-3m, No. 221
Spin magnetization   0.00 Bohr magnetons per cell
Energy of formation from the pure elements   0.8128 eV per atom

a b c (Å): 4.4847 4.4847 4.4847
angles (deg): 90.00 90.00 90.00
Last column: nearest neighbours and their distance in Å.
Sites, in units of the cell vectors:
P: 0.5000 0.0000 0.0000  2 Li 2.24
P: 0.0000 0.0000 0.5000  2 Li 2.24
P: 0.0000 0.5000 0.0000  2 Li 2.24
Li: 0.0000 0.0000 0.0000  6 P 2.24
Hg: 0.5000 0.5000 0.5000  12 P 3.17


# 4
# Pr12InPb3

An optimized crystal structure of Pr12InPb3 (PBE, Alexandria).

V   31.88 A^3/atom
Space-group type   P4/mmm, No. 123
Spin magnetization   0.00 Bohr magnetons per cell
Energy of formation from the pure elements   -0.3306 eV per atom

a b c (Å): 5.0368 5.0368 20.1065
angles (deg): 90.00 90.00 90.00
Last column: nearest neighbours and their distance in Å.
Sites, in units of the cell vectors:
Pr: 0.5000 0.0000 0.1246  2 Pb 3.55, 2 In 3.55, 8 Pr 3.55-3.57
Pr: 0.5000 0.5000 0.2502  8 Pr 3.56-3.57, 4 Pb 3.56
Pr: 0.5000 0.5000 0.5000  8 Pr 3.55, 4 Pb 3.56
Pr: 0.0000 0.5000 0.1246  2 Pb 3.55, 2 In 3.55, 8 Pr 3.55-3.57
Pr: 0.5000 0.5000 0.0000  8 Pr 3.55, 4 In 3.56
Pr: 0.0000 0.5000 0.6248  4 Pb 3.55-3.57, 8 Pr 3.55-3.56
Pr: 0.0000 0.5000 0.3752  4 Pb 3.55-3.57, 8 Pr 3.55-3.56
Pr: 0.0000 0.5000 0.8754  2 Pb 3.55, 2 In 3.55, 8 Pr 3.55-3.57
Pr: 0.5000 0.0000 0.8754  2 Pb 3.55, 2 In 3.55, 8 Pr 3.55-3.57
Pr: 0.5000 0.5000 0.7498  8 Pr 3.56-3.57, 4 Pb 3.56
Pr: 0.5000 0.0000 0.3752  4 Pb 3.55-3.57, 8 Pr 3.55-3.56
Pr: 0.5000 0.0000 0.6248  4 Pb 3.55-3.57, 8 Pr 3.55-3.56
Pb: 0.0000 0.0000 0.2490  12 Pr 3.55-3.57
Pb: 0.0000 0.0000 0.7510  12 Pr 3.55-3.57
Pb: 0.0000 0.0000 0.5000  12 Pr 3.55-3.56
In: 0.0000 0.0000 0.0000  12 Pr 3.55-3.56


# 5
# Rb3Ho3InSe8

An optimized crystal structure of Rb3Ho3InSe8 (PBE, Alexandria).

V   32.39 A^3/atom
Space-group type   C2/m, No. 12
Formation energy without anion corrections   -1.422 eV/atom
Spin magnetization   0.00 Bohr magnetons per cell

a b c (Å): 8.2469 8.2473 9.5234
angles (deg): 115.66 90.00 120.00
Last column: nearest neighbours and their distance in Å.
Sites, in units of the cell vectors:
Se: 0.7695 0.0365 0.3076  1 In 2.85, 2 Ho 2.86-2.87
Se: 0.2675 0.5350 0.3048  3 Ho 2.87-2.88
Se: 0.2290 0.4580 0.6916  1 In 2.84, 2 Ho 2.87
Se: 0.7330 0.9635 0.6924  1 In 2.85, 2 Ho 2.86-2.87
Se: 0.2305 0.9635 0.6924  1 In 2.85, 2 Ho 2.86-2.87
Se: 0.7710 0.5420 0.3084  1 In 2.84, 2 Ho 2.87
Se: 0.7325 0.4650 0.6952  3 Ho 2.87-2.88
Se: 0.2670 0.0365 0.3076  1 In 2.85, 2 Ho 2.86-2.87
In: 0.0000 0.0000 0.5000  6 Se 2.84-2.85
Ho: 0.5000 0.5000 0.5000  6 Se 2.87
Ho: 0.5000 0.0000 0.5000  6 Se 2.86-2.88
Ho: 0.0000 0.5000 0.5000  6 Se 2.87
Rb: 0.5000 0.5000 0.0000  6 Se 3.47-3.48
Rb: 0.0000 0.5000 0.0000  6 Se 3.47-3.48
Rb: 0.0000 0.0000 0.0000  6 Se 3.45-3.48


# 6
# Pa3Si6Mo

An optimized crystal structure of Pa3Si6Mo (PBE, Alexandria).

V   18.49 A^3/atom
Space-group type   R-3c, No. 167
Formation energy without anion corrections   -0.480 eV/atom
Spin magnetization   0.00 Bohr magnetons per cell

a b c (Å): 7.2382 7.2382 7.2382
angles (deg): 97.05 97.05 97.05
Last column: nearest neighbours and their distance in Å.
Sites, in units of the cell vectors:
Mo: 0.0000 0.0000 0.0000  6 Si 2.64
Mo: 0.5000 0.5000 0.5000  6 Si 2.64
Si: 0.4103 0.4771 0.1320  2 Si 2.36-2.47, 1 Mo 2.64
Si: 0.4771 0.1320 0.4103  2 Si 2.36-2.47, 1 Mo 2.64
Si: 0.5229 0.8680 0.5897  2 Si 2.36-2.47, 1 Mo 2.64
Si: 0.3680 0.0229 0.0897  2 Si 2.36-2.47, 1 Mo 2.64
Si: 0.0897 0.3680 0.0229  2 Si 2.36-2.47, 1 Mo 2.64
Si: 0.6320 0.9771 0.9103  2 Si 2.36-2.47, 1 Mo 2.64
Si: 0.8680 0.5897 0.5229  2 Si 2.36-2.47, 1 Mo 2.64
Si: 0.9103 0.6320 0.9771  2 Si 2.36-2.47, 1 Mo 2.64
Si: 0.9771 0.9103 0.6320  2 Si 2.36-2.47, 1 Mo 2.64
Si: 0.5897 0.5229 0.8680  2 Si 2.36-2.47, 1 Mo 2.64
Si: 0.1320 0.4103 0.4771  2 Si 2.36-2.47, 1 Mo 2.64
Si: 0.0229 0.0897 0.3680  2 Si 2.36-2.47, 1 Mo 2.64
Pa: 0.3133 0.1867 0.7500  8 Si 2.86-3.10
Pa: 0.2500 0.6867 0.8133  8 Si 2.86-3.10
Pa: 0.8133 0.2500 0.6867  8 Si 2.86-3.10
Pa: 0.6867 0.8133 0.2500  8 Si 2.86-3.10
Pa: 0.7500 0.3133 0.1867  8 Si 2.86-3.10
Pa: 0.1867 0.7500 0.3133  8 Si 2.86-3.10